1.
## Zn2Ag2Sn (PBEsol)

Data for an optimized crystal structure of Zn2Ag2Sn.

Structure (POSCAR):
```
Zn2Ag2Sn
1.0
-0.3898 -1.8587 -3.1278
-1.8253 -2.6213 1.7852
-4.7124 5.4766 -0.5268
Zn Sn Ag
2 1 2
Direct
0.2500 0.7500 0.5000 Zn
0.7500 0.2500 0.5000 Zn
0.0000 0.0000 0.0000 Sn
0.3938 0.3938 0.7876 Ag
0.6062 0.6062 0.2124 Ag
```

Computed properties:
The distance to the lowest polymorph of the same formula comes out at 26 meV per atom. For the size of the total moment, the calculation gives 0.000 μB per atom. The raw total energy comes out at -13.79 eV per formula unit. Its formation energy is 0.05 eV per atom. The density of states at the Fermi level comes out at 0.35 states/eV/atom.

***

2.
## Zn2Ag2Sn (PBEsol)

Data for an optimized crystal structure of Zn2Ag2Sn.

Structure (POSCAR):
```
Zn2Ag2Sn
1.0
-0.5769 2.0426 -1.9648
1.8154 -4.9771 -5.7072
-7.4115 -2.3717 -0.2892
Zn Sn Ag
4 2 4
Direct
0.5000 0.1669 0.6669 Zn
0.5000 0.6669 0.8331 Zn
0.5000 0.8331 0.3331 Zn
0.5000 0.3331 0.1669 Zn
0.0000 0.0000 0.0000 Sn
0.0000 0.5000 0.5000 Sn
0.0000 0.3704 0.8704 Ag
0.0000 0.8704 0.6296 Ag
0.0000 0.6296 0.1296 Ag
0.0000 0.1296 0.3704 Ag
```

Computed properties:
The distance to the lowest polymorph of the same formula comes out at 0 meV per atom. For the size of the total moment, the calculation gives 0.000 μB per atom. The raw total energy comes out at -13.92 eV per formula unit. Its formation energy is 0.03 eV per atom. The density of states at the Fermi level comes out at 0.38 states/eV/atom.

***

3.
## SrAg (PBEsol)

Data for an optimized crystal structure of SrAg.

Structure (POSCAR):
```
SrAg
1.0
-1.0986 4.4767 0.8096
-0.1016 1.6281 4.3866
6.6946 3.8694 1.2156
Sr Ag
2 2
Direct
0.5874 0.5874 0.2379 Sr
0.4126 0.4126 0.7621 Sr
0.1678 0.1678 0.4966 Ag
0.8322 0.8322 0.5034 Ag
```

Computed properties:
For the size of the total moment, the calculation gives 0.000 μB per atom. The raw total energy comes out at -5.55 eV per formula unit. Its formation energy is -0.20 eV per atom. The density of states at the Fermi level comes out at 0.58 states/eV/atom.

***

4.
## Sr3Ag (PBEsol)

Data for an optimized crystal structure of Sr3Ag.

Structure (POSCAR):
```
Sr3Ag
1.0
4.0329 0.0000 0.0000
0.0000 6.1479 0.0000
-2.0164 -3.0740 6.4284
Sr Ag
3 1
Direct
0.6912 0.1912 0.3824 Sr
0.5000 0.5000 0.0000 Sr
0.3088 0.8088 0.6176 Sr
0.0000 0.0000 0.0000 Ag
```

Computed properties:
The distance to the lowest polymorph of the same formula comes out at 87 meV per atom. For the size of the total moment, the calculation gives 0.000 μB per atom. The raw total energy comes out at -9.07 eV per formula unit. Its formation energy is -0.06 eV per atom. The density of states at the Fermi level comes out at 1.09 states/eV/atom.

***

5.
## Sr3Ag2 (PBEsol)

Data for an optimized crystal structure of Sr3Ag2.

Structure (POSCAR):
```
Sr3Ag2
1.0
-7.5744 0.9009 3.3182
-3.1540 -7.5979 1.2318
0.5664 -1.6996 8.1230
Sr Ag
9 6
Direct
0.8363 0.1101 0.3365 Sr
0.1101 0.3365 0.8363 Sr
0.3365 0.8363 0.1101 Sr
0.1637 0.8899 0.6635 Sr
0.8899 0.6635 0.1637 Sr
0.6635 0.1637 0.8899 Sr
0.5000 0.5000 0.5000 Sr
0.7058 0.7058 0.7058 Sr
0.2942 0.2942 0.2942 Sr
0.4595 0.0877 0.6400 Ag
0.0877 0.6400 0.4595 Ag
0.6400 0.4595 0.0877 Ag
0.5405 0.9123 0.3600 Ag
0.9123 0.3600 0.5405 Ag
0.3600 0.5405 0.9123 Ag
```

Computed properties:
For the size of the total moment, the calculation gives 0.000 μB per atom. The raw total energy comes out at -13.29 eV per formula unit. Its formation energy is -0.23 eV per atom. The density of states at the Fermi level comes out at 0.68 states/eV/atom.

***

6.
## SrAg2 (PBEsol)

Data for an optimized crystal structure of SrAg2.

Structure (POSCAR):
```
SrAg2
1.0
5.8235 0.0000 0.0000
-2.9117 5.0433 0.0000
0.0000 0.0000 18.7969
Ag Sr
16 8
Direct
0.3333 0.6667 0.8770 Ag
0.6667 0.3333 0.1230 Ag
0.6667 0.3333 0.3770 Ag
0.3333 0.6667 0.6230 Ag
0.0000 0.5000 0.0000 Ag
0.5000 0.0000 0.0000 Ag
0.5000 0.5000 0.0000 Ag
0.0000 0.5000 0.5000 Ag
0.5000 0.0000 0.5000 Ag
0.5000 0.5000 0.5000 Ag
0.6637 0.8318 0.7500 Ag
0.1682 0.3363 0.7500 Ag
0.1682 0.8318 0.7500 Ag
0.3363 0.1682 0.2500 Ag
0.8318 0.6637 0.2500 Ag
0.8318 0.1682 0.2500 Ag
0.0000 0.0000 0.9042 Sr
0.0000 0.0000 0.0958 Sr
0.0000 0.0000 0.4042 Sr
0.0000 0.0000 0.5958 Sr
0.3333 0.6667 0.1558 Sr
0.6667 0.3333 0.8442 Sr
0.6667 0.3333 0.6558 Sr
0.3333 0.6667 0.3442 Sr
```

Computed properties:
For the size of the total moment, the calculation gives 0.000 μB per atom. The raw total energy comes out at -9.12 eV per formula unit. Its formation energy is -0.22 eV per atom. The density of states at the Fermi level comes out at 0.63 states/eV/atom.

***

7.
## SrAg3 (PBEsol)

Data for an optimized crystal structure of SrAg3.

Structure (POSCAR):
```
SrAg3
1.0
4.6604 0.0000 0.0000
2.3302 4.0361 0.0000
2.3302 1.3454 5.1012
Sr Ag
1 3
Direct
0.0000 0.0000 0.0000 Sr
0.7958 0.7958 0.6127 Ag
0.5000 0.5000 0.5000 Ag
0.2042 0.2042 0.3873 Ag
```

Computed properties:
For the size of the total moment, the calculation gives 0.000 μB per atom. The raw total energy comes out at -12.41 eV per formula unit. Its formation energy is -0.16 eV per atom. The density of states at the Fermi level comes out at 0.32 states/eV/atom.

***

8.
## Sr3Ag (PBEsol)

Data for an optimized crystal structure of Sr3Ag.

Structure (POSCAR):
```
Sr3Ag
1.0
-3.1497 2.5030 1.6832
-1.2913 -5.9713 6.4634
6.1424 5.0538 3.9786
Ag Sr
2 6
Direct
0.2500 0.5648 0.4352 Ag
0.7500 0.4352 0.5648 Ag
0.7500 0.8721 0.1279 Sr
0.2500 0.1279 0.8721 Sr
0.7500 0.8148 0.5663 Sr
0.2500 0.1852 0.4337 Sr
0.7500 0.4337 0.1852 Sr
0.2500 0.5663 0.8148 Sr
```

Computed properties:
The distance to the lowest polymorph of the same formula comes out at 87 meV per atom. For the size of the total moment, the calculation gives 0.000 μB per atom. The raw total energy comes out at -9.07 eV per formula unit. Its formation energy is -0.06 eV per atom. The density of states at the Fermi level comes out at 0.74 states/eV/atom.

***

9.
## SrAg (PBEsol)

Data for an optimized crystal structure of SrAg.

Structure (POSCAR):
```
SrAg
1.0
6.8672 0.0000 0.0000
0.0000 9.6741 0.0000
0.0000 0.0000 10.7573
Ag Sr
12 12
Direct
0.7500 0.8498 0.1415 Ag
0.2500 0.1502 0.8585 Ag
0.7500 0.3498 0.8585 Ag
0.2500 0.6502 0.1415 Ag
0.7500 0.4533 0.4217 Ag
0.2500 0.5467 0.5783 Ag
0.7500 0.9533 0.5783 Ag
0.2500 0.0467 0.4217 Ag
0.0000 0.2500 0.0480 Ag
0.5000 0.7500 0.9520 Ag
0.0000 0.7500 0.9520 Ag
0.5000 0.2500 0.0480 Ag
0.7500 0.5241 0.1161 Sr
0.2500 0.4759 0.8839 Sr
0.7500 0.0241 0.8839 Sr
0.2500 0.9759 0.1161 Sr
0.7500 0.1295 0.2950 Sr
0.2500 0.8705 0.7050 Sr
0.7500 0.6295 0.7050 Sr
0.2500 0.3705 0.2950 Sr
0.0000 0.2500 0.6141 Sr
0.5000 0.7500 0.3859 Sr
0.0000 0.7500 0.3859 Sr
0.5000 0.2500 0.6141 Sr
```

Computed properties:
For the size of the total moment, the calculation gives 0.000 μB per atom. The raw total energy comes out at -5.53 eV per formula unit. Its formation energy is -0.19 eV per atom. The density of states at the Fermi level comes out at 0.53 states/eV/atom.

***

10.
## Sr3Ag (PBEsol)

Data for an optimized crystal structure of Sr3Ag.

Structure (POSCAR):
```
Sr3Ag
1.0
-2.1036 -1.9312 3.1024
3.3481 -1.8663 -1.7570
6.6307 4.8311 7.5033
Sr Ag
3 1
Direct
0.0000 0.0000 0.5000 Sr
0.3333 0.6667 0.8146 Sr
0.3333 0.6667 0.1854 Sr
0.0000 0.0000 0.0000 Ag
```

Computed properties:
The distance to the lowest polymorph of the same formula comes out at 101 meV per atom. For the size of the total moment, the calculation gives 0.000 μB per atom. The raw total energy comes out at -9.01 eV per formula unit. Its formation energy is -0.04 eV per atom. The density of states at the Fermi level comes out at 0.80 states/eV/atom.

***

11.
## SrAg3 (PBEsol)

Data for an optimized crystal structure of SrAg3.

Structure (POSCAR):
```
SrAg3
1.0
5.8038 0.0000 0.0000
0.0000 7.6521 0.0000
0.0000 0.0000 8.1333
Ag Sr
12 4
Direct
0.1381 0.7500 0.1221 Ag
0.6381 0.2500 0.3779 Ag
0.3619 0.7500 0.6221 Ag
0.8619 0.2500 0.8779 Ag
0.5870 0.0601 0.6694 Ag
0.0870 0.9399 0.8306 Ag
0.9130 0.4399 0.1694 Ag
0.4130 0.5601 0.3306 Ag
0.4130 0.9399 0.3306 Ag
0.9130 0.0601 0.1694 Ag
0.0870 0.5601 0.8306 Ag
0.5870 0.4399 0.6694 Ag
0.6213 0.7500 0.9663 Sr
0.1213 0.2500 0.5337 Sr
0.8787 0.7500 0.4663 Sr
0.3787 0.2500 0.0337 Sr
```

Computed properties:
For the size of the total moment, the calculation gives 0.000 μB per atom. The raw total energy comes out at -12.54 eV per formula unit. Its formation energy is -0.19 eV per atom. The density of states at the Fermi level comes out at 0.36 states/eV/atom.

***

12.
## Sr2Ag (PBEsol)

Data for an optimized crystal structure of Sr2Ag.

Structure (POSCAR):
```
Sr2Ag
1.0
-3.8185 0.5580 -1.7449
2.8336 -2.1736 -6.8963
-0.8285 -6.0816 5.0081
Sr Ag
4 2
Direct
0.0198 0.2613 0.0395 Sr
0.7209 0.7528 0.4417 Sr
0.9802 0.7387 0.9605 Sr
0.2791 0.2472 0.5583 Sr
0.3953 0.9502 0.7906 Ag
0.6047 0.0498 0.2094 Ag
```

Computed properties:
The distance to the lowest polymorph of the same formula comes out at 5 meV per atom. For the size of the total moment, the calculation gives 0.000 μB per atom. The raw total energy comes out at -7.48 eV per formula unit. Its formation energy is -0.16 eV per atom. The density of states at the Fermi level comes out at 0.81 states/eV/atom.

***

13.
## Sr2Ag (PBEsol)

Data for an optimized crystal structure of Sr2Ag.

Structure (POSCAR):
```
Sr2Ag
1.0
10.6356 0.0000 0.0000
5.3178 9.2107 0.0000
5.3178 3.0702 8.6839
Ag Sr
8 16
Direct
0.3473 0.3473 0.3473 Ag
0.3473 0.3473 0.9580 Ag
0.9580 0.3473 0.3473 Ag
0.3473 0.9580 0.3473 Ag
0.9027 0.9027 0.9027 Ag
0.9027 0.9027 0.2920 Ag
0.2920 0.9027 0.9027 Ag
0.9027 0.2920 0.9027 Ag
0.1250 0.6250 0.1250 Sr
0.6250 0.1250 0.1250 Sr
0.1250 0.1250 0.6250 Sr
0.1250 0.1250 0.1250 Sr
0.5598 0.5598 0.9402 Sr
0.9402 0.5598 0.5598 Sr
0.5598 0.9402 0.5598 Sr
0.9402 0.5598 0.9402 Sr
0.5598 0.9402 0.9402 Sr
0.9402 0.9402 0.5598 Sr
0.6902 0.6902 0.3098 Sr
0.3098 0.6902 0.6902 Sr
0.6902 0.3098 0.6902 Sr
0.3098 0.6902 0.3098 Sr
0.6902 0.3098 0.3098 Sr
0.3098 0.3098 0.6902 Sr
```

Computed properties:
The distance to the lowest polymorph of the same formula comes out at 45 meV per atom. For the size of the total moment, the calculation gives 0.002 μB per atom. The raw total energy comes out at -7.36 eV per formula unit. Its formation energy is -0.12 eV per atom. The density of states at the Fermi level comes out at 0.74 states/eV/atom.

***

14.
## SrAg2 (PBEsol)

Data for an optimized crystal structure of SrAg2.

Structure (POSCAR):
```
SrAg2
1.0
-3.4184 -1.9281 2.4702
2.2991 -5.5289 -1.1338
4.1933 2.6326 3.5048
Sr Ag
2 4
Direct
0.1091 0.3057 0.2181 Sr
0.8909 0.6943 0.7819 Sr
0.7771 0.1294 0.5542 Ag
0.4032 0.3029 0.8064 Ag
0.5968 0.6971 0.1936 Ag
0.2229 0.8706 0.4458 Ag
```

Computed properties:
For the size of the total moment, the calculation gives 0.000 μB per atom. The raw total energy comes out at -9.10 eV per formula unit. Its formation energy is -0.21 eV per atom. The density of states at the Fermi level comes out at 0.42 states/eV/atom.

***

15.
## Sr2Ag (PBEsol)

Data for an optimized crystal structure of Sr2Ag.

Structure (POSCAR):
```
Sr2Ag
1.0
3.9223 0.0000 0.0000
0.0000 5.7655 0.0000
-1.9611 0.0000 9.5203
Sr Ag
4 2
Direct
0.4303 0.2500 0.8607 Sr
0.5697 0.7500 0.1393 Sr
0.7020 0.2500 0.4041 Sr
0.2980 0.7500 0.5959 Sr
0.0672 0.2500 0.1345 Ag
0.9328 0.7500 0.8655 Ag
```

Computed properties:
The distance to the lowest polymorph of the same formula comes out at 67 meV per atom. For the size of the total moment, the calculation gives 0.000 μB per atom. The raw total energy comes out at -7.29 eV per formula unit. Its formation energy is -0.10 eV per atom. The density of states at the Fermi level comes out at 0.97 states/eV/atom.

***

16.
## Sr5Ag3 (PBEsol)

Data for an optimized crystal structure of Sr5Ag3.

Structure (POSCAR):
```
Sr5Ag3
1.0
7.0089 0.0000 0.0000
0.0000 9.4618 0.0000
0.0000 -4.7309 8.1942
Ag Sr
6 10
Direct
0.7500 0.3927 0.3927 Ag
0.2500 0.6073 0.6073 Ag
0.7500 0.0000 0.6073 Ag
0.7500 0.6073 0.0000 Ag
0.2500 0.3927 0.0000 Ag
0.2500 0.0000 0.3927 Ag
0.0000 0.6667 0.3333 Sr
0.5000 0.3333 0.6667 Sr
0.0000 0.3333 0.6667 Sr
0.5000 0.6667 0.3333 Sr
0.7500 0.7430 0.7430 Sr
0.2500 0.2570 0.2570 Sr
0.7500 0.0000 0.2570 Sr
0.7500 0.2570 0.0000 Sr
0.2500 0.7430 0.0000 Sr
0.2500 0.0000 0.7430 Sr
```

Computed properties:
For the size of the total moment, the calculation gives 0.000 μB per atom. The raw total energy comes out at -20.61 eV per formula unit. Its formation energy is -0.18 eV per atom. The density of states at the Fermi level comes out at 0.58 states/eV/atom.

***

17.
## Sr2Ag (PBEsol)

Data for an optimized crystal structure of Sr2Ag.

Structure (POSCAR):
```
Sr2Ag
1.0
4.1802 0.0000 0.0000
-2.0901 7.0638 0.0000
0.0000 0.0000 7.5875
Sr Ag
4 2
Direct
0.4856 0.9711 0.7105 Sr
0.5144 0.0289 0.2105 Sr
0.2188 0.4376 0.5244 Sr
0.7812 0.5624 0.0244 Sr
0.1143 0.2286 0.9314 Ag
0.8857 0.7714 0.4314 Ag
```

Computed properties:
The distance to the lowest polymorph of the same formula comes out at 11 meV per atom. For the size of the total moment, the calculation gives 0.000 μB per atom. The raw total energy comes out at -7.46 eV per formula unit. Its formation energy is -0.16 eV per atom. The density of states at the Fermi level comes out at 0.70 states/eV/atom.

***

18.
## Sr2Ag (PBEsol)

Data for an optimized crystal structure of Sr2Ag.

Structure (POSCAR):
```
Sr2Ag
1.0
4.4584 0.0000 0.0000
-2.2292 3.8611 0.0000
0.0000 0.0000 7.2359
Sr Ag
2 1
Direct
0.3333 0.6667 0.2481 Sr
0.6667 0.3333 0.7519 Sr
0.0000 0.0000 0.0000 Ag
```

Computed properties:
The distance to the lowest polymorph of the same formula comes out at 83 meV per atom. For the size of the total moment, the calculation gives 0.000 μB per atom. The raw total energy comes out at -7.24 eV per formula unit. Its formation energy is -0.08 eV per atom. The density of states at the Fermi level comes out at 1.00 states/eV/atom.

***

19.
## SrAg2 (PBEsol)

Data for an optimized crystal structure of SrAg2.

Structure (POSCAR):
```
SrAg2
1.0
-1.7884 -3.9124 0.3388
0.3660 0.2046 4.2946
-6.9844 5.4137 -1.8305
Sr Ag
2 4
Direct
0.2500 0.7500 0.5000 Sr
0.0000 0.0000 0.0000 Sr
0.8289 0.3289 0.6578 Ag
0.4211 0.4211 0.8422 Ag
0.6711 0.1711 0.3422 Ag
0.5789 0.5789 0.1578 Ag
```

Computed properties:
For the size of the total moment, the calculation gives 0.000 μB per atom. The raw total energy comes out at -9.09 eV per formula unit. Its formation energy is -0.21 eV per atom. The density of states at the Fermi level comes out at 0.34 states/eV/atom.

***

20.
## Sr3Ag (PBEsol)

Data for an optimized crystal structure of Sr3Ag.

Structure (POSCAR):
```
Sr3Ag
1.0
7.2400 0.0000 0.0000
0.0000 8.3630 0.0000
0.0000 0.0000 10.6207
Ag Sr
4 12
Direct
0.5530 0.8790 0.7500 Ag
0.0530 0.6210 0.2500 Ag
0.9470 0.3790 0.7500 Ag
0.4470 0.1210 0.2500 Ag
0.1450 0.0371 0.7500 Sr
0.6450 0.4629 0.2500 Sr
0.3550 0.5371 0.7500 Sr
0.8550 0.9629 0.2500 Sr
0.6616 0.1766 0.9355 Sr
0.1616 0.3234 0.0645 Sr
0.8384 0.6766 0.5645 Sr
0.3384 0.8234 0.4355 Sr
0.3384 0.8234 0.0645 Sr
0.8384 0.6766 0.9355 Sr
0.1616 0.3234 0.4355 Sr
0.6616 0.1766 0.5645 Sr
```

Computed properties:
The distance to the lowest polymorph of the same formula comes out at 0 meV per atom. For the size of the total moment, the calculation gives 0.000 μB per atom. The raw total energy comes out at -9.41 eV per formula unit. Its formation energy is -0.15 eV per atom. The density of states at the Fermi level comes out at 0.91 states/eV/atom.